# 1
Here is a relaxed BeNi6B2 crystal from Alexandria. Energies are from PBE.

abc: 6.002 6.002 6.002
angles: 113.05 112.13 103.40
Fractional positions:
Be (0.000, 0.000, 0.000)
Be (0.500, 0.500, 0.000)
Ni (0.048, 0.243, 0.805)
Ni (0.188, 0.287, 0.476)
Ni (0.188, 0.713, 0.901)
Ni (0.327, 0.022, 0.695)
Ni (0.327, 0.631, 0.305)
Ni (0.437, 0.243, 0.195)
Ni (0.563, 0.757, 0.805)
Ni (0.673, 0.369, 0.695)
Ni (0.673, 0.978, 0.305)
Ni (0.812, 0.287, 0.099)
Ni (0.812, 0.713, 0.524)
Ni (0.952, 0.757, 0.195)
B (0.121, 0.621, 0.500)
B (0.335, 0.000, 0.335)
B (0.665, 0.000, 0.665)
B (0.879, 0.379, 0.500)

Properties
- Space-group type: Immm (71)
- E_form: -0.32 eV per atom
- ρ: 7.70 Mg/m³

---

# 2
Here is a relaxed BeNi2B crystal from Alexandria. Energies are from PBE.

abc: 4.679 4.679 4.679
angles: 104.16 104.16 120.71
Fractional positions:
Be (0.000, 0.000, 0.000)
Be (0.750, 0.250, 0.500)
Ni (0.184, 0.625, 0.059)
Ni (0.375, 0.434, 0.559)
Ni (0.566, 0.125, 0.941)
Ni (0.875, 0.816, 0.441)
B (0.250, 0.750, 0.500)
B (0.500, 0.500, 0.000)

Properties
- Space-group type: I-42d (122)
- E_form: 0.05 eV per atom
- Energy above the lowest structure with this stoichiometry: 289 meV per atom
- ρ: 5.95 Mg/m³

---

# 3
Here is a relaxed Be2Ni4B crystal from Alexandria. Energies are from PBE.

abc: 6.209 6.209 6.209
angles: 33.54 33.54 33.54
Fractional positions:
Be (0.248, 0.248, 0.248)
Be (0.752, 0.752, 0.752)
Ni (0.124, 0.124, 0.124)
Ni (0.373, 0.373, 0.373)
Ni (0.627, 0.627, 0.627)
Ni (0.876, 0.876, 0.876)
B (0.000, 0.000, 0.000)

Properties
- Space-group type: R-3m (166)
- E_form: -0.21 eV per atom
- Energy above the lowest structure with this stoichiometry: 0 meV per atom
- ρ: 6.72 Mg/m³

---

# 4
Here is a relaxed BeNiB crystal from Alexandria. Energies are from PBE.

abc: 6.409 3.072 5.018
angles: 90.00 90.00 90.00
Fractional positions:
Be (0.163, 0.250, 0.237)
Be (0.337, 0.750, 0.737)
Be (0.663, 0.250, 0.263)
Be (0.837, 0.750, 0.763)
Ni (0.100, 0.250, 0.678)
Ni (0.400, 0.750, 0.178)
Ni (0.600, 0.250, 0.822)
Ni (0.900, 0.750, 0.322)
B (0.091, 0.750, 0.987)
B (0.409, 0.250, 0.487)
B (0.591, 0.750, 0.513)
B (0.909, 0.250, 0.013)

Properties
- Space-group type: Pnma (62)
- E_form: -0.15 eV per atom
- Energy above the lowest structure with this stoichiometry: 0 meV per atom
- ρ: 5.28 Mg/m³

---

no.,N(E_F) (states/eV/cell),VASP energy (eV/atom)
1,9.37,-6.070
2,2.80,-5.445
3,1.53,-5.535
4,5.54,-5.543